No. 1
Below is a geometry-optimized KNdSn structure, with properties calculated at the GGA-PBE level.

abc: 5.419 5.419 10.910
angles: 75.62 75.62 60.00
Atoms (fractional coordinates):
1 K 0.877 0.877 0.368
2 Nd 0.295 0.295 0.114
3 Sn 0.398 0.398 0.807
4 Nd 0.705 0.705 0.886
5 Sn 0.602 0.602 0.193
6 K 0.123 0.123 0.632

Values from the calculation:
energy of formation from the pure elements	-0.23	eV per atom
calculated volume	44.3	A^3/atom
energy	-3.520	eV per atom
crystal system	trigonal


No. 2
Below is a geometry-optimized KNdSn4 structure, with properties calculated at the GGA-PBE level.

abc: 6.316 6.316 6.316
angles: 60.00 60.00 60.00
Atoms (fractional coordinates):
1 Sn 0.626 0.626 0.626
2 Sn 0.122 0.626 0.626
3 Sn 0.626 0.626 0.122
4 K 0.250 0.250 0.250
5 Sn 0.626 0.122 0.626
6 Nd 0.000 0.000 0.000

Values from the calculation:
energy of formation from the pure elements	-0.30	eV per atom
calculated volume	29.7	A^3/atom
energy	-3.945	eV per atom
crystal system	cubic


Number 2 is which compound? KNdSn4


Among the records above, which one has the lowest energy? KNdSn4


Which value of energy of formation from the pure elements does entry 1 give? -0.23 eV per atom